## KPa2Te5 (GGA-PBE)

Data for a geometry-optimized KPa2Te5 structure.

The structure belongs to space group I4/mcm (No. 140); the cell edges are 8.3387, 8.3387 and 15.6951 Å and the angles 90.00°, 90.00° and 90.00°. The distinct sites, in fractional coordinates, are K at (0.0000, 0.0000, 0.2500), Pa at (0.1519, 0.3481, 0.0000), Te at (0.0000, 0.0000, 0.0000) and Te at (0.1472, 0.3528, 0.3730).

As for the crystal system: tetragonal. As for the calculated volume: 1091.4 Å³ per cell. The value obtained for the energy is -5.415 eV/atom.



## KPaTe (GGA-PBE)

Data for a geometry-optimized KPaTe structure.

The structure belongs to space group F-43m (No. 216); the cell edges are 7.5681, 7.5681 and 7.5681 Å and the angles 90.00°, 90.00° and 90.00°. The distinct sites, in fractional coordinates, are K at (0.0000, 0.0000, 0.0000), Pa at (0.0000, 0.0000, 0.5000) and Te at (0.2500, 0.2500, 0.2500).

As for the crystal system: cubic. As for the calculated volume: 433.5 Å³ per cell. The value obtained for the energy is -4.170 eV/atom. The relative energy among the computed polymorphs comes out at 0.000 eV/atom.



## KPaTl (GGA-PBE)

Data for a geometry-optimized KPaTl structure.

The structure belongs to space group F-43m (No. 216); the cell edges are 7.6635, 7.6635 and 7.6635 Å and the angles 90.00°, 90.00° and 90.00°. The distinct sites, in fractional coordinates, are K at (0.0000, 0.0000, 0.0000), Pa at (0.0000, 0.0000, 0.5000) and Tl at (0.2500, 0.2500, 0.2500).

As for the crystal system: cubic. As for the calculated volume: 450.1 Å³ per cell. The value obtained for the energy is -3.290 eV/atom. The relative energy among the computed polymorphs comes out at 0.000 eV/atom.



## KPaW (GGA-PBE)

Data for a geometry-optimized KPaW structure.

The structure belongs to space group F-43m (No. 216); the cell edges are 6.9086, 6.9086 and 6.9086 Å and the angles 90.00°, 90.00° and 90.00°. The distinct sites, in fractional coordinates, are K at (0.0000, 0.0000, 0.0000), Pa at (0.0000, 0.0000, 0.5000) and W at (0.2500, 0.2500, 0.7500).

As for the crystal system: cubic. As for the calculated volume: 329.7 Å³ per cell. The value obtained for the energy is -5.937 eV/atom. The relative energy among the computed polymorphs comes out at 0.000 eV/atom.



## KYPa (GGA-PBE)

Data for a geometry-optimized KYPa structure.

The structure belongs to space group F-43m (No. 216); the cell edges are 8.0352, 8.0352 and 8.0352 Å and the angles 90.00°, 90.00° and 90.00°. The distinct sites, in fractional coordinates, are K at (0.0000, 0.0000, 0.0000), Y at (0.2500, 0.2500, 0.2500) and Pa at (0.0000, 0.0000, 0.5000).

As for the crystal system: cubic. As for the calculated volume: 518.8 Å³ per cell. The value obtained for the energy is -3.921 eV/atom. The relative energy among the computed polymorphs comes out at 0.000 eV/atom.



## KPaZn (GGA-PBE)

Data for a geometry-optimized KPaZn structure.

The structure belongs to space group F-43m (No. 216); the cell edges are 7.2991, 7.2991 and 7.2991 Å and the angles 90.00°, 90.00° and 90.00°. The distinct sites, in fractional coordinates, are K at (0.0000, 0.0000, 0.0000), Pa at (0.0000, 0.0000, 0.5000) and Zn at (0.2500, 0.2500, 0.2500).

As for the crystal system: cubic. As for the calculated volume: 388.9 Å³ per cell. The value obtained for the energy is -2.757 eV/atom. The relative energy among the computed polymorphs comes out at 0.000 eV/atom.



## KPdPb (GGA-PBE)

Data for a geometry-optimized KPdPb structure.

The structure belongs to space group F-43m (No. 216); the cell edges are 7.0851, 7.0851 and 7.0851 Å and the angles 90.00°, 90.00° and 90.00°. The distinct sites, in fractional coordinates, are K at (0.0000, 0.0000, 0.0000), Pd at (0.2500, 0.2500, 0.2500) and Pb at (0.0000, 0.0000, 0.5000).

As for the crystal system: cubic. As for the calculated volume: 355.7 Å³ per cell. The value obtained for the energy is -3.270 eV/atom.



## KPdPb (GGA-PBE)

Data for a geometry-optimized KPdPb structure.

The structure belongs to space group P2_1/m (No. 11); the cell edges are 5.1663, 4.8633 and 7.5412 Å and the angles 90.00°, 92.20° and 90.00°. The distinct sites, in fractional coordinates, are K at (0.2402, 0.2500, 0.3350), Pd at (0.1785, 0.7500, 0.0013) and Pb at (0.3081, 0.2500, 0.8480).

As for the crystal system: monoclinic. As for the calculated volume: 189.3 Å³ per cell. The value obtained for the energy is -3.606 eV/atom.



## KPdPb (GGA-PBE)

Data for a geometry-optimized KPdPb structure.

The structure belongs to space group F-43m (No. 216); the cell edges are 7.2877, 7.2877 and 7.2877 Å and the angles 90.00°, 90.00° and 90.00°. The distinct sites, in fractional coordinates, are K at (0.0000, 0.0000, 0.0000), Pd at (0.2500, 0.2500, 0.2500) and Pb at (0.2500, 0.2500, 0.7500).

As for the crystal system: cubic. As for the calculated volume: 387.0 Å³ per cell. The value obtained for the energy is -2.685 eV/atom.



## KPmPb (GGA-PBE)

Data for a geometry-optimized KPmPb structure.

The structure belongs to space group F-43m (No. 216); the cell edges are 7.6906, 7.6906 and 7.6906 Å and the angles 90.00°, 90.00° and 90.00°. The distinct sites, in fractional coordinates, are K at (0.0000, 0.0000, 0.0000), Pm at (0.2500, 0.2500, 0.2500) and Pb at (0.0000, 0.0000, 0.5000).

As for the crystal system: cubic. As for the calculated volume: 454.9 Å³ per cell. The value obtained for the energy is -3.043 eV/atom. The relative energy among the computed polymorphs comes out at 0.000 eV/atom.



## KPrPb (GGA-PBE)

Data for a geometry-optimized KPrPb structure.

The structure belongs to space group F-43m (No. 216); the cell edges are 7.7746, 7.7746 and 7.7746 Å and the angles 90.00°, 90.00° and 90.00°. The distinct sites, in fractional coordinates, are K at (0.0000, 0.0000, 0.0000), Pr at (0.2500, 0.2500, 0.2500) and Pb at (0.0000, 0.0000, 0.5000).

As for the crystal system: cubic. As for the calculated volume: 469.9 Å³ per cell. The value obtained for the energy is -3.077 eV/atom. The relative energy among the computed polymorphs comes out at 0.000 eV/atom.



## K2Pt2Pb (GGA-PBE)

Data for a geometry-optimized K2Pt2Pb structure.

The structure belongs to space group C2/c (No. 15); the cell edges are 10.3033, 6.8479 and 8.2944 Å and the angles 90.00°, 100.31° and 90.00°. The distinct sites, in fractional coordinates, are K at (0.1422, 0.1229, 0.1359), Pt at (0.1442, 0.3487, 0.5069) and Pb at (0.0000, 0.4313, 0.7500).

As for the crystal system: monoclinic. As for the calculated volume: 575.8 Å³ per cell. The value obtained for the energy is -3.828 eV/atom. The relative energy among the computed polymorphs comes out at 0.000 eV/atom.



## KPt2Pb2 (GGA-PBE)

Data for a geometry-optimized KPt2Pb2 structure.

The structure belongs to space group C2/m (No. 12); the cell edges are 12.0266, 4.5731 and 5.3066 Å and the angles 90.00°, 106.90° and 90.00°. The distinct sites, in fractional coordinates, are K at (0.0000, 0.0000, 0.0000), Pt at (0.2488, 0.5000, 0.1506) and Pb at (0.1486, 0.5000, 0.5761).

As for the crystal system: monoclinic. As for the calculated volume: 279.3 Å³ per cell. The value obtained for the energy is -4.386 eV/atom. The relative energy among the computed polymorphs comes out at 0.000 eV/atom.



## KPt2Pb2 (GGA-PBE)

Data for a geometry-optimized KPt2Pb2 structure.

The structure belongs to space group I4/mmm (No. 139); the cell edges are 4.7541, 4.7541 and 12.6395 Å and the angles 90.00°, 90.00° and 90.00°. The distinct sites, in fractional coordinates, are K at (0.0000, 0.0000, 0.0000), Pt at (0.0000, 0.5000, 0.2500) and Pb at (0.0000, 0.0000, 0.3610).

As for the crystal system: tetragonal. As for the calculated volume: 285.7 Å³ per cell. The value obtained for the energy is -4.316 eV/atom. The relative energy among the computed polymorphs comes out at 0.070 eV/atom.



## K2Pt2Pb (GGA-PBE)

Data for a geometry-optimized K2Pt2Pb structure.

The structure belongs to space group P4/mbm (No. 127); the cell edges are 7.1574, 7.1574 and 5.4403 Å and the angles 90.00°, 90.00° and 90.00°. The distinct sites, in fractional coordinates, are K at (0.1715, 0.3285, 0.0000), Pt at (0.1284, 0.6284, 0.5000) and Pb at (0.0000, 0.0000, 0.5000).

As for the crystal system: tetragonal. As for the calculated volume: 278.7 Å³ per cell. The value obtained for the energy is -3.705 eV/atom. The relative energy among the computed polymorphs comes out at 0.124 eV/atom.



## KPt2Pb2 (GGA-PBE)

Data for a geometry-optimized KPt2Pb2 structure.

The structure belongs to space group I4/mmm (No. 139); the cell edges are 4.9350, 4.9350 and 11.0174 Å and the angles 90.00°, 90.00° and 90.00°. The distinct sites, in fractional coordinates, are K at (0.0000, 0.0000, 0.0000), Pt at (0.0000, 0.0000, 0.3795) and Pb at (0.0000, 0.5000, 0.2500).

As for the crystal system: tetragonal. As for the calculated volume: 268.3 Å³ per cell. The value obtained for the energy is -4.334 eV/atom. The relative energy among the computed polymorphs comes out at 0.052 eV/atom.



## KPt3Pb5 (GGA-PBE)

Data for a geometry-optimized KPt3Pb5 structure.

The structure belongs to space group P6/mmm (No. 191); the cell edges are 5.7711, 5.7711 and 9.0210 Å and the angles 90.00°, 90.00° and 120.00°. The distinct sites, in fractional coordinates, are K at (0.0000, 0.0000, 0.0000), Pt at (0.0000, 0.5000, 0.5000), Pb at (0.0000, 0.0000, 0.5000) and Pb at (0.3333, 0.6667, 0.2281).

As for the crystal system: hexagonal. As for the calculated volume: 260.2 Å³ per cell. The value obtained for the energy is -4.355 eV/atom.



## KRbZnPb (GGA-PBE)

Data for a geometry-optimized KRbZnPb structure.

The structure belongs to space group Amm2 (No. 38); the cell edges are 6.6647, 11.2925 and 8.3617 Å and the angles 90.00°, 90.00° and 90.00°. The distinct sites, in fractional coordinates, are K at (0.0000, 0.1694, 0.0000), Rb at (0.5000, 0.1705, 0.6888), Zn at (0.2500, 0.0000, 0.3417), Pb at (0.0000, 0.0000, 0.5968) and Pb at (0.5000, 0.0000, 0.0867).

As for the crystal system: orthorhombic. As for the calculated volume: 629.3 Å³ per cell. The value obtained for the energy is -1.878 eV/atom.



## KRb3Zn2Pb2 (GGA-PBE)

Data for a geometry-optimized KRb3Zn2Pb2 structure.

The structure belongs to space group Pm (No. 6); the cell edges are 7.0433, 6.7604 and 7.1288 Å and the angles 90.00°, 107.62° and 90.00°. The distinct sites, in fractional coordinates, are K at (0.0000, 0.0000, 0.0000), Rb at (0.3459, 0.5000, 0.0198), Rb at (0.6603, 0.0000, 0.3368), Rb at (0.6886, 0.5000, 0.6848), Zn at (0.1746, 0.2499, 0.5070), Pb at (0.4196, 0.0000, 0.7665) and Pb at (0.9217, 0.5000, 0.2551).

As for the crystal system: monoclinic. As for the calculated volume: 323.5 Å³ per cell. The value obtained for the energy is -1.858 eV/atom.



## K3RbZn2Pb2 (GGA-PBE)

Data for a geometry-optimized K3RbZn2Pb2 structure.

The structure belongs to space group Pm (No. 6); the cell edges are 6.9048, 6.5593 and 7.0256 Å and the angles 90.00°, 106.51° and 90.00°. The distinct sites, in fractional coordinates, are K at (0.0000, 0.0000, 0.0000), K at (0.3041, 0.5000, 0.3087), K at (0.6494, 0.5000, 0.9730), Rb at (0.3428, 0.0000, 0.6590), Zn at (0.8197, 0.2502, 0.4865), Pb at (0.0774, 0.5000, 0.7446) and Pb at (0.5704, 0.0000, 0.2211).

As for the crystal system: monoclinic. As for the calculated volume: 305.1 Å³ per cell. The value obtained for the energy is -1.901 eV/atom.